[1]
{
  "formula": "CaCd3C",
  "functional": "meta-GGA SCAN",
  "state": "single point on PBEsol structure",
  "lattice_angstrom": [[6.0530, 0.0000, 0.0000], [0.0000, 6.0530, 0.0000], [0.0000, 0.0000, 6.0530]],
  "species": ["Ca", "Cd", "Cd", "Cd", "C"],
  "frac_coords": [[0.0000, 0.0000, 0.0000], [0.0000, 0.0000, 0.5000], [0.0000, 0.5000, 0.0000], [0.5000, 0.0000, 0.0000], [0.5000, 0.5000, 0.5000]],
  "magnetic_moment_mub_per_fu": 3.1,
  "e_tot_ev_per_fu": -101.8,
  "ef_ev_per_atom": 1.846
}

***

[2]
{
  "formula": "Nb3NiS6",
  "functional": "meta-GGA SCAN",
  "state": "single point on PBEsol structure",
  "lattice_angstrom": [[5.7341, 0.0000, 0.0000], [-2.8670, 4.9658, 0.0000], [0.0000, 0.0000, 11.6029]],
  "species": ["Nb", "Nb", "Nb", "Nb", "Nb", "Nb", "Ni", "Ni", "S", "S", "S", "S", "S", "S", "S", "S", "S", "S", "S", "S"],
  "frac_coords": [[0.0000, 0.0000, 0.0000], [0.0000, 0.0000, 0.5000], [0.3333, 0.6667, 0.0025], [0.3333, 0.6667, 0.4975], [0.6667, 0.3333, 0.5025], [0.6667, 0.3333, 0.9975], [0.3333, 0.6667, 0.7500], [0.6667, 0.3333, 0.2500], [0.0010, 0.3324, 0.3648], [0.0010, 0.6686, 0.1352], [0.3314, 0.3324, 0.1352], [0.3314, 0.9990, 0.3648], [0.3324, 0.0010, 0.6352], [0.3324, 0.3314, 0.8648], [0.6676, 0.6686, 0.3648], [0.6676, 0.9990, 0.1352], [0.6686, 0.0010, 0.8648], [0.6686, 0.6676, 0.6352], [0.9990, 0.3314, 0.6352], [0.9990, 0.6676, 0.8648]],
  "magnetic_moment_mub_per_fu": 1.5,
  "e_tot_ev_per_fu": -184.6,
  "formation_energy_uncorrected_ev_per_atom": -1.132
}

***

[3]
{
  "formula": "PdAuN2O",
  "functional": "meta-GGA SCAN",
  "state": "single point on PBEsol structure",
  "lattice_angstrom": [[3.8731, 0.0000, 0.0000], [0.0000, 3.8731, 0.0000], [0.0000, 0.0000, 4.0370]],
  "species": ["Pd", "Au", "N", "N", "O"],
  "frac_coords": [[0.0000, 0.0000, 0.0000], [0.5000, 0.5000, 0.5000], [0.0000, 0.5000, 0.0000], [0.5000, 0.0000, 0.0000], [0.0000, 0.0000, 0.5000]],
  "magnetic_moment_mub_per_fu": 3.7,
  "e_tot_ev_per_fu": -119.2,
  "formation_energy_uncorrected_ev_per_atom": 1.516
}

***

[4]
{
  "formula": "InGe2AsPd",
  "functional": "meta-GGA SCAN",
  "state": "single point on PBEsol structure",
  "lattice_angstrom": [[5.0525, 0.0000, 0.0000], [0.0000, 5.0525, 0.0000], [0.0000, 0.0000, 4.8931]],
  "species": ["In", "Ge", "Ge", "As", "Pd"],
  "frac_coords": [[0.0000, 0.0000, 0.0000], [0.0000, 0.5000, 0.0000], [0.5000, 0.0000, 0.0000], [0.5000, 0.5000, 0.5000], [0.0000, 0.0000, 0.5000]],
  "magnetic_moment_mub_per_fu": 0.0,
  "e_tot_ev_per_fu": -119.2,
  "ef_ev_per_atom": 1.059
}

***

[5]
{
  "formula": "CsBaHg2",
  "functional": "meta-GGA SCAN",
  "state": "single point on PBEsol structure",
  "lattice_angstrom": [[8.3937, 0.0000, 0.0000], [0.0000, 8.3937, 0.0000], [0.0000, 0.0000, 8.3937]],
  "species": ["Cs", "Cs", "Cs", "Cs", "Ba", "Ba", "Ba", "Ba", "Hg", "Hg", "Hg", "Hg", "Hg", "Hg", "Hg", "Hg"],
  "frac_coords": [[0.0000, 0.0000, 0.0000], [0.0000, 0.5000, 0.5000], [0.5000, 0.0000, 0.5000], [0.5000, 0.5000, 0.0000], [0.0000, 0.0000, 0.5000], [0.0000, 0.5000, 0.0000], [0.5000, 0.0000, 0.0000], [0.5000, 0.5000, 0.5000], [0.2500, 0.2500, 0.2500], [0.2500, 0.2500, 0.7500], [0.2500, 0.7500, 0.2500], [0.2500, 0.7500, 0.7500], [0.7500, 0.2500, 0.2500], [0.7500, 0.2500, 0.7500], [0.7500, 0.7500, 0.2500], [0.7500, 0.7500, 0.7500]],
  "magnetic_moment_mub_per_fu": 0.0,
  "e_tot_ev_per_fu": -215.2,
  "ef_ev_per_atom": -0.374
}

***

[6]
{
  "formula": "NbCr3Hg",
  "functional": "meta-GGA SCAN",
  "state": "single point on PBEsol structure",
  "lattice_angstrom": [[4.8361, 0.0000, 0.0000], [0.0000, 4.8361, 0.0000], [0.0000, 0.0000, 4.8361]],
  "species": ["Nb", "Cr", "Cr", "Cr", "Hg"],
  "frac_coords": [[0.0000, 0.0000, 0.0000], [0.0000, 0.5000, 0.5000], [0.5000, 0.0000, 0.5000], [0.5000, 0.5000, 0.0000], [0.5000, 0.5000, 0.5000]],
  "magnetic_moment_mub_per_fu": 9.6,
  "e_tot_ev_per_fu": -149.0,
  "ef_ev_per_atom": 1.493
}

***

[7]
{
  "formula": "Rb3FeF6",
  "functional": "meta-GGA SCAN",
  "state": "single point on PBEsol structure",
  "lattice_angstrom": [[0.0000, 4.4347, 4.4347], [4.4347, 0.0000, 4.4347], [4.4347, 4.4347, 0.0000]],
  "species": ["Rb", "Rb", "Rb", "Fe", "F", "F", "F", "F", "F", "F"],
  "frac_coords": [[0.0000, 0.0000, 0.0000], [0.2500, 0.2500, 0.2500], [0.7500, 0.7500, 0.7500], [0.5000, 0.5000, 0.5000], [0.2906, 0.2906, 0.7094], [0.2906, 0.7094, 0.2906], [0.2906, 0.7094, 0.7094], [0.7094, 0.2906, 0.2906], [0.7094, 0.2906, 0.7094], [0.7094, 0.7094, 0.2906]],
  "magnetic_moment_mub_per_fu": 1.0,
  "e_tot_ev_per_fu": -128.8,
  "formation_energy_uncorrected_ev_per_atom": -2.717
}

***

[8]
{
  "formula": "BaCo2Ge2",
  "functional": "meta-GGA SCAN",
  "state": "single point on PBEsol structure",
  "lattice_angstrom": [[3.9593, 0.0000, 0.0000], [0.0000, 3.9593, 0.0000], [0.0000, 0.0000, 12.0704]],
  "species": ["Ba", "Ba", "Co", "Co", "Co", "Co", "Ge", "Ge", "Ge", "Ge"],
  "frac_coords": [[0.0000, 0.0000, 0.0000], [0.5000, 0.5000, 0.5000], [0.0000, 0.5000, 0.2500], [0.0000, 0.5000, 0.7500], [0.5000, 0.0000, 0.2500], [0.5000, 0.0000, 0.7500], [0.0000, 0.0000, 0.3468], [0.0000, 0.0000, 0.6532], [0.5000, 0.5000, 0.1532], [0.5000, 0.5000, 0.8468]],
  "magnetic_moment_mub_per_fu": 0.0,
  "e_tot_ev_per_fu": -114.0,
  "ef_ev_per_atom": -0.342
}

***

[9]
{
  "formula": "Cs2Au2Cl",
  "functional": "meta-GGA SCAN",
  "state": "single point on PBEsol structure",
  "lattice_angstrom": [[6.6116, 0.0000, 0.0000], [0.0000, 6.6116, 0.0000], [0.0000, 0.0000, 8.1653]],
  "species": ["Cs", "Cs", "Cs", "Cs", "Au", "Au", "Au", "Au", "Cl", "Cl"],
  "frac_coords": [[0.0000, 0.5000, 0.2500], [0.0000, 0.5000, 0.7500], [0.5000, 0.0000, 0.2500], [0.5000, 0.0000, 0.7500], [0.0000, 0.0000, 0.1607], [0.0000, 0.0000, 0.8393], [0.5000, 0.5000, 0.3393], [0.5000, 0.5000, 0.6607], [0.0000, 0.0000, 0.5000], [0.5000, 0.5000, 0.0000]],
  "magnetic_moment_mub_per_fu": 0.0,
  "e_tot_ev_per_fu": -225.3,
  "relative_energy_mev_per_atom": 364,
  "formation_energy_uncorrected_ev_per_atom": -0.668
}

***

[10]
{
  "formula": "KAlO2",
  "functional": "meta-GGA SCAN",
  "state": "single point on PBEsol structure",
  "lattice_angstrom": [[5.4227, 0.0000, 0.0000], [0.0000, 10.8937, 0.0000], [0.0000, 0.0000, 15.4682]],
  "species": ["K", "K", "K", "K", "K", "K", "K", "K", "K", "K", "K", "K", "K", "K", "K", "K", "Al", "Al", "Al", "Al", "Al", "Al", "Al", "Al", "Al", "Al", "Al", "Al", "Al", "Al", "Al", "Al", "O", "O", "O", "O", "O", "O", "O", "O", "O", "O", "O", "O", "O", "O", "O", "O", "O", "O", "O", "O", "O", "O", "O", "O", "O", "O", "O", "O", "O", "O", "O", "O"],
  "frac_coords": [[0.2017, 0.2378, 0.1850], [0.2017, 0.2622, 0.6850], [0.2462, 0.0095, 0.5618], [0.2462, 0.4905, 0.0618], [0.2538, 0.5095, 0.5618], [0.2538, 0.9905, 0.0618], [0.2983, 0.7378, 0.1850], [0.2983, 0.7622, 0.6850], [0.7017, 0.2378, 0.3150], [0.7017, 0.2622, 0.8150], [0.7462, 0.0095, 0.9382], [0.7462, 0.4905, 0.4382], [0.7538, 0.5095, 0.9382], [0.7538, 0.9905, 0.4382], [0.7983, 0.7378, 0.3150], [0.7983, 0.7622, 0.8150], [0.2180, 0.2372, 0.4363], [0.2180, 0.2628, 0.9363], [0.2443, 0.0081, 0.8113], [0.2443, 0.4919, 0.3113], [0.2557, 0.5081, 0.8113], [0.2557, 0.9919, 0.3113], [0.2820, 0.7372, 0.4363], [0.2820, 0.7628, 0.9363], [0.7180, 0.2372, 0.0637], [0.7180, 0.2628, 0.5637], [0.7443, 0.0081, 0.6887], [0.7443, 0.4919, 0.1887], [0.7557, 0.5081, 0.6887], [0.7557, 0.9919, 0.1887], [0.7820, 0.7372, 0.0637], [0.7820, 0.7628, 0.5637], [0.0534, 0.5168, 0.2205], [0.0534, 0.9832, 0.7205], [0.0742, 0.7121, 0.0167], [0.0742, 0.7879, 0.5167], [0.1721, 0.5954, 0.3956], [0.1721, 0.9046, 0.8956], [0.1967, 0.1593, 0.8490], [0.1967, 0.3407, 0.3490], [0.3033, 0.6593, 0.8490], [0.3033, 0.8407, 0.3490], [0.3279, 0.0954, 0.3956], [0.3279, 0.4046, 0.8956], [0.4258, 0.2121, 0.0167], [0.4258, 0.2879, 0.5167], [0.4466, 0.0168, 0.2205], [0.4466, 0.4832, 0.7205], [0.5534, 0.5168, 0.2795], [0.5534, 0.9832, 0.7795], [0.5742, 0.7121, 0.4833], [0.5742, 0.7879, 0.9833], [0.6721, 0.5954, 0.1044], [0.6721, 0.9046, 0.6044], [0.6967, 0.1593, 0.6510], [0.6967, 0.3407, 0.1510], [0.8033, 0.6593, 0.6510], [0.8033, 0.8407, 0.1510], [0.8279, 0.0954, 0.1044], [0.8279, 0.4046, 0.6044], [0.9258, 0.2121, 0.4833], [0.9258, 0.2879, 0.9833], [0.9466, 0.0168, 0.2795], [0.9466, 0.4832, 0.7795]],
  "magnetic_moment_mub_per_fu": 0.0,
  "e_tot_ev_per_fu": -40.0,
  "formation_energy_uncorrected_ev_per_atom": -2.855
}